Here is Pr3GaSCl after structural relaxation from Alexandria via LeMat-Bulk. Energies are from GGA-PBE.

It has space group P2_1/m (No. 11), with a = 7.884 Å, b = 4.027 Å, c = 11.119 Å, α = 90.00°, β = 107.79° and γ = 90.00°. Symmetry generates all atoms from Pr at (0.174, 0.250, 0.146), Pr at (0.211, 0.250, 0.492), Pr at (0.320, 0.750, 0.839), Ga at (0.015, 0.250, 0.704), S at (0.404, 0.750, 0.106) and Cl at (0.479, 0.750, 0.626).

For the total energy, the calculation gives -5.19 eV/atom. Its density of states at the Fermi level is 8.8 states/eV per cell. Its density is 5.53 g cm⁻³. The value obtained for the uncorrected formation energy is -1.30 eV/atom.